Record 1
Material: LiHIO2
Method: DFT, GGA-PBE
State: optimized geometry

Properties
- Calculated density: 3.3 Mg/m³
- M_tot: 0.00 μB/f.u.
- Energy: -0.10066 hartree per atom
- Polymorph energy (0 for the lowest one): 0.91 eV/f.u.
- DOS(E_F): 5.3 states/eV/f.u.

Lattice parameters (Å, degrees): 3.445 3.445 7.001 90.00 90.00 90.00
Sites, in units of the cell vectors:
O1 0.000 0.500 0.000
O2 0.500 0.000 0.000
Li1 0.000 0.000 0.000
H1 0.500 0.500 0.500
I1 0.000 0.000 0.500



Record 2
Material: YBeW2
Method: DFT, GGA-PBE
State: optimized geometry

Properties
- Calculated density: 10.7 Mg/m³
- M_tot: 0.00 μB/f.u.
- Energy: -0.31151 hartree per atom
- Formation enthalpy at 0 K: 548 meV per atom
- DOS(E_F): 3.5 states/eV/f.u.

Lattice parameters (Å, degrees): 4.503 3.396 4.827 78.38 90.00 90.00
Sites, in units of the cell vectors:
Be1 0.500 0.750 0.750
W1 0.000 0.580 0.548
W2 0.000 0.920 0.952
Y1 0.500 0.250 0.250



Record 3
Material: NpInGaPt
Method: DFT, GGA-PBE
State: optimized geometry

Properties
- Calculated density: 12.6 Mg/m³
- M_tot: 3.67 μB/f.u.
- Energy: -0.23919 hartree per atom
- Formation enthalpy at 0 K: -322 meV per atom
- DOS(E_F): 4.0 states/eV/f.u.

Lattice parameters (Å, degrees): 4.863 4.863 4.863 60.00 60.00 60.00
Sites, in units of the cell vectors:
Ga1 0.250 0.250 0.250
Pt1 0.750 0.750 0.750
In1 0.500 0.500 0.500
Np1 0.000 0.000 0.000



Record 4
Material: SrCu3
Method: DFT, GGA-PBE
State: optimized geometry

Properties
- Calculated density: 5.3 Mg/m³
- M_tot: 0.00 μB/f.u.
- Energy: -0.12548 hartree per atom
- Formation enthalpy at 0 K: 78 meV per atom
- DOS(E_F): 1.3 states/eV/f.u.

Lattice parameters (Å, degrees): 4.283 4.832 4.214 90.35 90.00 90.00
Sites, in units of the cell vectors:
Cu1 0.000 0.000 0.749
Cu2 0.500 0.750 0.750
Cu3 0.000 0.500 0.751
Sr1 0.500 0.250 0.250



Record 5
Material: LaScI2
Method: DFT, GGA-PBE
State: optimized geometry

Properties
- Calculated density: 6.4 Mg/m³
- M_tot: 0.00 μB/f.u.
- Energy: -0.15517 hartree per atom
- Polymorph energy (0 for the lowest one): 0.00 eV/f.u.
- Formation energy (no corrections): -0.63 eV per atom
- DOS(E_F): 1.3 states/eV/f.u.

Lattice parameters (Å, degrees): 5.421 5.421 5.421 60.00 60.00 60.00
Sites, in units of the cell vectors:
La1 0.500 0.500 0.500
I1 0.250 0.250 0.250
I2 0.750 0.750 0.750
Sc1 0.000 0.000 0.000



Record 6
Material: CrOsRh4
Method: DFT, GGA-PBE
State: optimized geometry

Properties
- Calculated density: 13.2 Mg/m³
- M_tot: 0.09 μB/f.u.
- Energy: -0.31001 hartree per atom
- Polymorph energy (0 for the lowest one): 0.00 eV/f.u.
- Formation enthalpy at 0 K: -59 meV per atom
- DOS(E_F): 5.1 states/eV/f.u.

Lattice parameters (Å, degrees): 2.711 4.319 7.179 90.00 100.87 90.00
Sites, in units of the cell vectors:
Rh1 0.059 0.503 0.363
Rh2 0.276 0.003 0.797
Rh3 0.725 0.503 0.695
Rh4 0.951 0.003 0.147
Os1 0.392 0.503 0.029
Cr1 0.617 0.003 0.480



Copy entry 1 word for word.
Material: LiHIO2
Method: DFT, GGA-PBE
State: optimized geometry

Properties
- Calculated density: 3.3 Mg/m³
- M_tot: 0.00 μB/f.u.
- Energy: -0.10066 hartree per atom
- Polymorph energy (0 for the lowest one): 0.91 eV/f.u.
- DOS(E_F): 5.3 states/eV/f.u.

Lattice parameters (Å, degrees): 3.445 3.445 7.001 90.00 90.00 90.00
Sites, in units of the cell vectors:
O1 0.000 0.500 0.000
O2 0.500 0.000 0.000
Li1 0.000 0.000 0.000
H1 0.500 0.500 0.500
I1 0.000 0.000 0.500



What did the fifth record say?
Material: LaScI2
Method: DFT, GGA-PBE
State: optimized geometry

Properties
- Calculated density: 6.4 Mg/m³
- M_tot: 0.00 μB/f.u.
- Energy: -0.15517 hartree per atom
- Polymorph energy (0 for the lowest one): 0.00 eV/f.u.
- Formation energy (no corrections): -0.63 eV per atom
- DOS(E_F): 1.3 states/eV/f.u.

Lattice parameters (Å, degrees): 5.421 5.421 5.421 60.00 60.00 60.00
Sites, in units of the cell vectors:
La1 0.500 0.500 0.500
I1 0.250 0.250 0.250
I2 0.750 0.750 0.750
Sc1 0.000 0.000 0.000